1.
Compound: Cd2InAs
Source: the Alexandria database
Functional: GGA-PBEsol
Structure: optimized geometry

Cell lengths 3.2564, 3.2564, 8.3462 Å; angles 90.00, 90.00, 98.24 degrees
With the nearest neighbours (Å) after each atom.
Fractional coordinates of all 4 atoms:
As  0.5000  0.5000  0.0000  8 Cd 2.89-3.14
Cd  0.0000  0.0000  0.2340  4 As 2.89-3.14, 2 In 3.08
Cd  0.0000  0.0000  0.7660  4 As 2.89-3.14, 2 In 3.08
In  0.5000  0.5000  0.5000  8 Cd 3.08-3.32, 4 In 3.26

Calculated values
Energy of formation (eV per atom): 0.13
DOS at the Fermi energy (states/eV per cell): 1.81
Distance to the lowest polymorph of the same formula (kJ/mol of atoms): 1.93

***

2.
Compound: Cd2InAs
Source: the Alexandria database
Functional: GGA-PBEsol
Structure: optimized geometry

Cell lengths 5.0164, 5.0164, 5.0164 Å; angles 60.00, 60.00, 60.00 degrees
With the nearest neighbours (Å) after each atom.
Fractional coordinates of all 4 atoms:
As  0.5000  0.5000  0.5000  4 Cd 3.07, 4 In 3.07
Cd  0.0000  0.0000  0.0000  4 Cd 3.07, 4 In 3.07
Cd  0.2500  0.2500  0.2500  4 As 3.07, 4 Cd 3.07
In  0.7500  0.7500  0.7500  4 Cd 3.07, 4 As 3.07

Calculated values
Energy of formation (eV per atom): 0.14
DOS at the Fermi energy (states/eV per cell): 1.67
Distance to the lowest polymorph of the same formula (kJ/mol of atoms): 3.02

***

3.
Compound: Cd2InAs
Source: the Alexandria database
Functional: GGA-PBEsol
Structure: optimized geometry

Cell lengths 3.2218, 3.2218, 8.3577 Å; angles 90.00, 90.00, 90.15 degrees
With the nearest neighbours (Å) after each atom.
Fractional coordinates of all 4 atoms:
As  0.5000  0.5000  0.2395  4 Cd 2.99, 4 In 3.09, 4 As 3.22
Cd  0.0000  0.0000  0.0081  4 As 2.99, 8 Cd 3.06-3.22
Cd  0.5000  0.5000  0.7628  8 Cd 3.06-3.22, 4 In 3.22-3.23
In  0.0000  0.0000  0.4897  4 As 3.09, 4 In 3.22, 4 Cd 3.22-3.23

Calculated values
Energy of formation (eV per atom): 0.11
DOS at the Fermi energy (states/eV per cell): 1.71
Distance to the lowest polymorph of the same formula (kJ/mol of atoms): 0.00

***

4.
Compound: Cd2InAs
Source: the Alexandria database
Functional: GGA-PBEsol
Structure: optimized geometry

Cell lengths 4.5220, 4.5220, 5.3089 Å; angles 115.21, 115.21, 90.00 degrees
With the nearest neighbours (Å) after each atom.
Fractional coordinates of all 4 atoms:
As  0.0000  0.0000  0.0000  8 Cd 3.10, 4 In 3.20
Cd  0.7500  0.2500  0.5000  4 As 3.10, 4 In 3.10, 4 Cd 3.20
Cd  0.2500  0.7500  0.5000  4 As 3.10, 4 In 3.10, 4 Cd 3.20
In  0.5000  0.5000  0.0000  8 Cd 3.10, 4 As 3.20

Calculated values
Energy of formation (eV per atom): 0.11
DOS at the Fermi energy (states/eV per cell): 1.51
Distance to the lowest polymorph of the same formula (kJ/mol of atoms): 0.59

***

5.
Compound: MnCdIn2As
Source: the Alexandria database
Functional: GGA-PBEsol
Structure: optimized geometry

Cell lengths 4.3697, 5.0702, 5.0702 Å; angles 90.00, 90.00, 90.00 degrees
With the nearest neighbours (Å) after each atom.
Fractional coordinates of all 5 atoms:
As  0.5000  0.0000  0.0000  2 Mn 2.18
Cd  0.5000  0.5000  0.5000  8 In 3.35, 4 As 3.59
Mn  0.0000  0.0000  0.0000  2 As 2.18
In  0.0000  0.0000  0.5000  2 Mn 2.54
In  0.0000  0.5000  0.0000  2 Mn 2.54

Calculated values
Energy of formation (eV per atom): 0.17
DOS at the Fermi energy (states/eV per cell): 1.21

***

6.
Compound: Cd3AsIr
Source: the Alexandria database
Functional: GGA-PBEsol
Structure: optimized geometry

Cell lengths 5.0494, 5.0494, 5.0494 Å; angles 90.00, 90.00, 90.00 degrees
With the nearest neighbours (Å) after each atom.
Fractional coordinates of all 5 atoms:
As  0.5000  0.5000  0.5000  12 Cd 3.57
Ir  0.0000  0.0000  0.0000  6 Cd 2.52
Cd  0.0000  0.5000  0.0000  2 Ir 2.52
Cd  0.0000  0.0000  0.5000  2 Ir 2.52
Cd  0.5000  0.0000  0.0000  2 Ir 2.52

Calculated values
Energy of formation (eV per atom): 0.77
DOS at the Fermi energy (states/eV per cell): 5.29
Distance to the lowest polymorph of the same formula (kJ/mol of atoms): 0.00

***

7.
Compound: Cd3AsIr
Source: the Alexandria database
Functional: GGA-PBEsol
Structure: optimized geometry

Cell lengths 4.9188, 4.9188, 4.9188 Å; angles 90.00, 90.00, 90.00 degrees
With the nearest neighbours (Å) after each atom.
Fractional coordinates of all 5 atoms:
As  0.0000  0.0000  0.0000  6 Cd 2.46
Ir  0.5000  0.5000  0.5000  12 Cd 3.48
Cd  0.0000  0.5000  0.0000  2 As 2.46
Cd  0.0000  0.0000  0.5000  2 As 2.46
Cd  0.5000  0.0000  0.0000  2 As 2.46

Calculated values
Energy of formation (eV per atom): 1.16
DOS at the Fermi energy (states/eV per cell): 6.09
Distance to the lowest polymorph of the same formula (kJ/mol of atoms): 37.68

***

8.
Compound: CdAs2Ir
Source: the Alexandria database
Functional: GGA-PBEsol
Structure: optimized geometry

Cell lengths 2.9572, 3.9051, 6.1115 Å; angles 90.00, 90.00, 90.00 degrees
With the nearest neighbours (Å) after each atom.
Fractional coordinates of all 4 atoms:
As  0.0000  0.0000  0.9525  4 Ir 2.60, 1 Cd 2.76
As  0.5000  0.5000  0.2375  1 Ir 2.62, 4 Cd 2.93
Ir  0.5000  0.5000  0.8092  5 As 2.60-2.62
Cd  0.0000  0.0000  0.5008  5 As 2.76-2.93, 2 Cd 2.96, 4 Ir 3.09

Calculated values
Energy of formation (eV per atom): 0.19
DOS at the Fermi energy (states/eV per cell): 2.01

***

9.
Compound: K2Cd3SnAs4
Source: the Alexandria database
Functional: GGA-PBEsol
Structure: optimized geometry

Cell lengths 4.4080, 7.6341, 9.2281 Å; angles 114.59, 103.82, 90.00 degrees
With the nearest neighbours (Å) after each atom.
Fractional coordinates of all 10 atoms:
As  0.6282  0.2976  0.2565  4 Cd 2.59-2.81
As  0.1515  0.8140  0.3031  1 Sn 2.65, 3 Cd 2.66-2.69
As  0.3683  0.6961  0.7366  1 Sn 2.65, 2 Cd 2.71
As  0.8675  0.2046  0.7349  2 Sn 2.73, 2 Cd 2.81-3.05
K  0.5093  0.5163  0.0185  6 As 3.22-3.43
K  0.0034  0.9963  0.0067  6 As 3.28-3.49
Sn  0.3152  0.9711  0.6303  4 As 2.65-2.73
Cd  0.8017  0.4790  0.6035  4 As 2.71-2.81
Cd  0.6793  0.0272  0.3586  3 As 2.59-2.66
Cd  0.1816  0.4978  0.3632  3 As 2.62-2.69

Calculated values
Energy of formation (eV per atom): -0.29
DOS at the Fermi energy (states/eV per cell): 1.37

***

10.
Compound: LaCdAs2
Source: the Alexandria database
Functional: GGA-PBEsol
Structure: optimized geometry

Cell lengths 3.7194, 3.7194, 7.0863 Å; angles 90.00, 90.00, 105.26 degrees
With the nearest neighbours (Å) after each atom.
Fractional coordinates of all 4 atoms:
As  0.0000  0.0000  0.2618  2 Cd 2.82, 2 La 2.92
As  0.0000  0.0000  0.7382  2 Cd 2.82, 2 La 2.92
Cd  0.5000  0.5000  0.5000  4 As 2.82
La  0.5000  0.5000  0.0000  4 As 2.92

Calculated values
Energy of formation (eV per atom): -0.49
DOS at the Fermi energy (states/eV per cell): 2.22

***

11.
Compound: LaCdAs2
Source: the Alexandria database
Functional: GGA-PBEsol
Structure: optimized geometry

Cell lengths 4.0839, 4.0692, 6.1279 Å; angles 90.05, 90.00, 90.00 degrees
With the nearest neighbours (Å) after each atom.
Fractional coordinates of all 4 atoms:
As  0.0000  0.9992  0.7910  1 As 2.56, 2 Cd 2.71
As  0.0000  0.0008  0.2090  1 As 2.56, 2 Cd 2.71
Cd  0.5000  0.0000  0.5000  4 As 2.71
La  0.5000  0.5000  0.0000  8 As 3.15-3.16

Calculated values
Energy of formation (eV per atom): -0.62
DOS at the Fermi energy (states/eV per cell): 2.53

***

12.
Compound: LaCd2As
Source: the Alexandria database
Functional: GGA-PBEsol
Structure: optimized geometry

Cell lengths 4.2925, 4.2925, 5.1847 Å; angles 90.00, 90.00, 90.00 degrees
With the nearest neighbours (Å) after each atom.
Fractional coordinates of all 4 atoms:
As  0.0000  0.0000  0.5000  4 La 3.04, 8 Cd 3.37
Cd  0.0000  0.5000  0.0000  4 Cd 3.04, 4 La 3.37, 4 As 3.37
Cd  0.5000  0.0000  0.0000  4 Cd 3.04, 4 La 3.37, 4 As 3.37
La  0.5000  0.5000  0.5000  4 As 3.04, 8 Cd 3.37

Calculated values
Energy of formation (eV per atom): -0.59
DOS at the Fermi energy (states/eV per cell): 1.46

***

13.
Compound: LaCdAs3
Source: the Alexandria database
Functional: GGA-PBEsol
Structure: optimized geometry

Cell lengths 5.0411, 5.0411, 5.0411 Å; angles 90.00, 90.00, 90.00 degrees
With the nearest neighbours (Å) after each atom.
Fractional coordinates of all 5 atoms:
As  0.0000  0.5000  0.0000  2 Cd 2.52
As  0.0000  0.0000  0.5000  2 Cd 2.52
As  0.5000  0.0000  0.0000  2 Cd 2.52
Cd  0.0000  0.0000  0.0000  6 As 2.52
La  0.5000  0.5000  0.5000  12 As 3.56

Calculated values
Energy of formation (eV per atom): 0.03
DOS at the Fermi energy (states/eV per cell): 3.39